# 1
A plane-wave DFT calculation with PBE was carried out for an optimized crystal structure of TmThZrIn.

```
data_TmThZrIn
_symmetry_space_group_name_H-M 'F -4 3 m'
_symmetry_Int_Tables_number 216
_symmetry_space_group_name_Hall 'F -4 2 3'
_cell_length_a 7.462
_cell_length_b 7.462
_cell_length_c 7.462
_cell_angle_alpha 90.00
_cell_angle_beta 90.00
_cell_angle_gamma 90.00
loop_
_atom_site_label
_atom_site_type_symbol
_atom_site_fract_x
_atom_site_fract_y
_atom_site_fract_z
Tm1 Tm 0.000 0.000 0.000
Th1 Th 0.250 0.250 0.750
Zr1 Zr 0.000 0.000 0.500
In1 In 0.250 0.250 0.250
```

## Properties
Energy of formation from the pure elements ... -0.031 eV/atom
Crystal system ... cubic
Total moment ... 0.000 μB per atom

***

# 2
A plane-wave DFT calculation with PBE was carried out for an optimized crystal structure of Th2UIn.

```
data_Th2UIn
_symmetry_space_group_name_H-M 'R -3 m'
_symmetry_Int_Tables_number 166
_symmetry_space_group_name_Hall '-R 3 2"'
_cell_length_a 3.4531
_cell_length_b 3.4531
_cell_length_c 33.3049
_cell_angle_alpha 90.00
_cell_angle_beta 90.00
_cell_angle_gamma 120.00
loop_
_atom_site_label
_atom_site_type_symbol
_atom_site_fract_x
_atom_site_fract_y
_atom_site_fract_z
Th1 Th 0.0000 0.0000 0.2488
U1 U 0.0000 0.0000 0.5000
In1 In 0.0000 0.0000 0.0000
```

## Properties
Energy of formation from the pure elements ... 0.221 eV/atom
Crystal system ... trigonal
Energy above the lowest structure with this stoichiometry ... 0.117 eV per atom
Total moment ... 0.524 μB per atom

***

# 3
A plane-wave DFT calculation with PBE was carried out for an optimized crystal structure of Th2UIn.

```
data_Th2UIn
_symmetry_space_group_name_H-M 'P 4/m m m'
_symmetry_Int_Tables_number 123
_symmetry_space_group_name_Hall '-P 4 2'
_cell_length_a 4.962
_cell_length_b 4.962
_cell_length_c 4.578
_cell_angle_alpha 90.00
_cell_angle_beta 90.00
_cell_angle_gamma 90.00
loop_
_atom_site_label
_atom_site_type_symbol
_atom_site_fract_x
_atom_site_fract_y
_atom_site_fract_z
Th1 Th 0.000 0.500 0.000
U1 U 0.000 0.000 0.500
In1 In 0.500 0.500 0.500
```

## Properties
Energy of formation from the pure elements ... 0.104 eV/atom
Crystal system ... tetragonal
Energy above the lowest structure with this stoichiometry ... 0.000 eV per atom
Total moment ... 0.802 μB per atom